No. 1
PmDyPd2 | PBE | relaxed

Cell and atoms, written as CIF:
```
data_PmDyPd2
_chemical_formula_sum 'Pm2 Dy2 Pd4'
_symmetry_space_group_name_H-M 'A m m 2'
_symmetry_Int_Tables_number 38
_symmetry_space_group_name_Hall 'A 2 -2'
_cell_length_a 4.582
_cell_length_b 3.811
_cell_length_c 10.682
_cell_angle_alpha 90.00
_cell_angle_beta 90.00
_cell_angle_gamma 90.00
loop_
_atom_site_label
_atom_site_type_symbol
_atom_site_fract_x
_atom_site_fract_y
_atom_site_fract_z
Pm1 Pm 0.000 0.000 0.000
Dy1 Dy 0.500 0.000 0.274
Pd1 Pd 0.000 0.000 0.725
Pd2 Pd 0.500 0.000 0.553
```

Formation energy, meV per atom: -871

---

No. 2
Nd4Tm3Al4 | PBE | relaxed

Cell and atoms, written as CIF:
```
data_Nd4Tm3Al4
_chemical_formula_sum 'Nd8 Tm6 Al8'
_symmetry_space_group_name_H-M 'I m m m'
_symmetry_Int_Tables_number 71
_symmetry_space_group_name_Hall '-I 2 2'
_cell_length_a 4.512
_cell_length_b 9.196
_cell_length_c 15.382
_cell_angle_alpha 90.00
_cell_angle_beta 90.00
_cell_angle_gamma 90.00
loop_
_atom_site_label
_atom_site_type_symbol
_atom_site_fract_x
_atom_site_fract_y
_atom_site_fract_z
Nd1 Nd 0.000 0.173 0.163
Tm1 Tm 0.000 0.000 0.387
Tm2 Tm 0.000 0.500 0.500
Al1 Al 0.000 0.357 0.000
Al2 Al 0.000 0.500 0.243
```

Formation energy, meV per atom: -62

---

No. 3
Y3ErCl | PBE | relaxed

Cell and atoms, written as CIF:
```
data_Y3ErCl
_chemical_formula_sum 'Y3 Er1 Cl1'
_symmetry_space_group_name_H-M 'P m -3 m'
_symmetry_Int_Tables_number 221
_symmetry_space_group_name_Hall '-P 4 2 3'
_cell_length_a 5.282
_cell_length_b 5.282
_cell_length_c 5.282
_cell_angle_alpha 90.00
_cell_angle_beta 90.00
_cell_angle_gamma 90.00
loop_
_atom_site_label
_atom_site_type_symbol
_atom_site_fract_x
_atom_site_fract_y
_atom_site_fract_z
Y1 Y 0.000 0.000 0.500
Er1 Er 0.500 0.500 0.500
Cl1 Cl 0.000 0.000 0.000
```

E_form (uncorrected), eV per atom: -0.44

---

DOS at the Fermi energy? In order: 5.215; 26.239; 7.419 states/eV/cell.
DFT total energy? In order: -5.806; -4.377; -5.605 eV per atom.